The following is a GGA+U calculation of a relaxed structure of V2GaAgO8, from Alexandria via LeMat-Bulk.

abc: 5.669 5.669 5.846
angles: 90.00 90.00 120.00
Fractional positions:
V  0.333  0.667  0.296
V  0.667  0.333  0.704
Ga  0.000  0.000  0.000
Ag  0.000  0.000  0.500
O  0.157  0.314  0.214
O  0.157  0.843  0.214
O  0.314  0.157  0.786
O  0.333  0.667  0.575
O  0.667  0.333  0.425
O  0.686  0.843  0.214
O  0.843  0.157  0.786
O  0.843  0.686  0.786

Results
total moment: 2.03 μB per formula unit
total energy: -76.14 eV for the cell shown
N(E_F): 1.0 states/eV/f.u.